Run one
# TbI2Br (PBE-GGA, relaxed)
data_TbI2Br
_cell_length_a 4.369
_cell_length_b 5.622
_cell_length_c 8.699
_cell_angle_alpha 88.96
_cell_angle_beta 75.54
_cell_angle_gamma 90.00
_symmetry_space_group_name_H-M 'P -1'
_symmetry_Int_Tables_number 2
loop_
_symmetry_equiv_pos_as_xyz
'x,y,z'
'-x,-y,-z'
loop_
_atom_site_label
_atom_site_fract_x
_atom_site_fract_y
_atom_site_fract_z
_atom_site_occupancy
Tb1 0.000 0.000 0.000 1
I1 0.374 0.993 0.254 1
Br1 0.000 0.500 0.000 1
# D(E_F): 0.0 states/eV/cell
# crystal system: triclinic

=====

Run two
# TbI2Br (PBE-GGA, relaxed)
data_TbI2Br
_cell_length_a 3.925
_cell_length_b 12.700
_cell_length_c 7.747
_cell_angle_alpha 90.00
_cell_angle_beta 90.00
_cell_angle_gamma 90.00
_symmetry_space_group_name_H-M 'I m m 2'
_symmetry_Int_Tables_number 44
loop_
_symmetry_equiv_pos_as_xyz
'x,y,z'
'-x,-y,z'
'-x,y,z'
'x,-y,z'
'x+1/2,y+1/2,z+1/2'
'-x+1/2,-y+1/2,z+1/2'
'-x+1/2,y+1/2,z+1/2'
'x+1/2,-y+1/2,z+1/2'
loop_
_atom_site_label
_atom_site_fract_x
_atom_site_fract_y
_atom_site_fract_z
_atom_site_occupancy
Tb1 0.000 0.000 0.000 1
I1 0.000 0.341 0.345 1
Br1 0.000 0.500 0.767 1
# D(E_F): 0.0 states/eV/cell
# crystal system: orthorhombic

=====

We find run one to be the most stable, with the next structure 1.4 kJ/mol of atoms higher.

=====

Run one
# TcIBr3 (PBE-GGA, relaxed)
data_TcIBr3
_cell_length_a 5.217
_cell_length_b 5.217
_cell_length_c 5.217
_cell_angle_alpha 90.00
_cell_angle_beta 90.00
_cell_angle_gamma 90.00
_symmetry_space_group_name_H-M 'P m -3 m'
_symmetry_Int_Tables_number 221
_symmetry_space_group_name_Hall '-P 4 2 3'
loop_
_atom_site_label
_atom_site_fract_x
_atom_site_fract_y
_atom_site_fract_z
_atom_site_occupancy
Tc1 0.000 0.000 0.000 1
I1 0.500 0.500 0.500 1
Br1 0.000 0.000 0.500 1
# D(E_F): 6.0 states/eV/cell
# crystal system: cubic

=====

Run two
# TcIBr3 (PBE-GGA, relaxed)
data_TcIBr3
_cell_length_a 8.023
_cell_length_b 16.690
_cell_length_c 6.499
_cell_angle_alpha 90.00
_cell_angle_beta 119.15
_cell_angle_gamma 90.00
_symmetry_space_group_name_H-M 'C 1 c 1'
_symmetry_Int_Tables_number 9
loop_
_symmetry_equiv_pos_as_xyz
'x,y,z'
'x,-y,z+1/2'
'x+1/2,y+1/2,z'
'x+1/2,-y+1/2,z+1/2'
loop_
_atom_site_label
_atom_site_fract_x
_atom_site_fract_y
_atom_site_fract_z
_atom_site_occupancy
Tc1 0.000 0.065 0.000 1
I1 0.265 0.327 0.504 1
Br1 0.203 0.053 0.446 1
Br2 0.221 0.162 0.989 1
Br3 0.298 0.449 0.052 1
# crystal system: monoclinic

=====

We find run two to be the most stable, with the next structure 46.9 kJ/mol of atoms higher.

=====

Run one
# TcIBr2 (PBE-GGA, relaxed)
data_TcIBr2
_cell_length_a 3.5860
_cell_length_b 3.5860
_cell_length_c 33.8174
_cell_angle_alpha 90.00
_cell_angle_beta 90.00
_cell_angle_gamma 120.00
_symmetry_space_group_name_H-M 'R -3 m'
_symmetry_Int_Tables_number 166
_symmetry_space_group_name_Hall '-R 3 2"'
loop_
_atom_site_label
_atom_site_fract_x
_atom_site_fract_y
_atom_site_fract_z
_atom_site_occupancy
Tc1 0.0000 0.0000 0.0000 1
I1 0.0000 0.0000 0.5000 1
Br1 0.0000 0.0000 0.3790 1
# D(E_F): 9.9 states/eV/cell
# crystal system: trigonal

=====

Run two
# TcIBr2 (PBE-GGA, relaxed)
data_TcIBr2
_cell_length_a 6.530
_cell_length_b 6.412
_cell_length_c 13.156
_cell_angle_alpha 90.00
_cell_angle_beta 119.75
_cell_angle_gamma 90.00
_symmetry_space_group_name_H-M 'P 1 21/c 1'
_symmetry_Int_Tables_number 14
loop_
_symmetry_equiv_pos_as_xyz
'x,y,z'
'-x,-y,-z'
'-x,y+1/2,-z+1/2'
'x,-y+1/2,z+1/2'
loop_
_atom_site_label
_atom_site_fract_x
_atom_site_fract_y
_atom_site_fract_z
_atom_site_occupancy
Tc1 0.162 0.000 0.412 1
I1 0.182 0.249 0.750 1
Br1 0.148 0.722 0.075 1
Br2 0.498 0.722 0.925 1
# D(E_F): 12.5 states/eV/cell
# crystal system: monoclinic

=====

We find run two to be the most stable, with the next structure 26.7 kJ/mol of atoms higher.

=====

Run one
# TcTeI2Br (PBE-GGA, relaxed)
data_TcTeI2Br
_cell_length_a 5.506
_cell_length_b 5.506
_cell_length_c 5.145
_cell_angle_alpha 90.00
_cell_angle_beta 90.00
_cell_angle_gamma 90.00
_symmetry_space_group_name_H-M 'P 4/m m m'
_symmetry_Int_Tables_number 123
_symmetry_space_group_name_Hall '-P 4 2'
loop_
_atom_site_label
_atom_site_fract_x
_atom_site_fract_y
_atom_site_fract_z
_atom_site_occupancy
Tc1 0.000 0.000 0.000 1
Te1 0.000 0.000 0.500 1
I1 0.000 0.500 0.000 1
Br1 0.500 0.500 0.500 1
# D(E_F): 5.4 states/eV/cell
# crystal system: tetragonal

=====

Run two
# TcTeI2Br (PBE-GGA, relaxed)
data_TcTeI2Br
_cell_length_a 5.704
_cell_length_b 5.704
_cell_length_c 5.935
_cell_angle_alpha 90.00
_cell_angle_beta 90.00
_cell_angle_gamma 90.00
_symmetry_space_group_name_H-M 'P 4/m m m'
_symmetry_Int_Tables_number 123
_symmetry_space_group_name_Hall '-P 4 2'
loop_
_atom_site_label
_atom_site_fract_x
_atom_site_fract_y
_atom_site_fract_z
_atom_site_occupancy
Tc1 0.000 0.000 0.000 1
Te1 0.500 0.500 0.000 1
I1 0.000 0.500 0.500 1
Br1 0.500 0.500 0.500 1
# D(E_F): 3.5 states/eV/cell
# crystal system: tetragonal

=====

We find run one to be the most stable, with the next structure 90.8 kJ/mol of atoms higher.

=====

Run one
# TcTe2IBr (PBE-GGA, relaxed)
data_TcTe2IBr
_cell_length_a 5.660
_cell_length_b 5.660
_cell_length_c 5.662
_cell_angle_alpha 90.00
_cell_angle_beta 90.00
_cell_angle_gamma 90.00
_symmetry_space_group_name_H-M 'P 4/m m m'
_symmetry_Int_Tables_number 123
_symmetry_space_group_name_Hall '-P 4 2'
loop_
_atom_site_label
_atom_site_fract_x
_atom_site_fract_y
_atom_site_fract_z
_atom_site_occupancy
Tc1 0.000 0.000 0.000 1
Te1 0.000 0.500 0.500 1
I1 0.500 0.500 0.000 1
Br1 0.500 0.500 0.500 1
# D(E_F): 4.1 states/eV/cell
# crystal system: tetragonal

=====

Run two
# TcTe2IBr (PBE-GGA, relaxed)
data_TcTe2IBr
_cell_length_a 5.182
_cell_length_b 5.182
_cell_length_c 5.616
_cell_angle_alpha 90.00
_cell_angle_beta 90.00
_cell_angle_gamma 90.00
_symmetry_space_group_name_H-M 'P 4/m m m'
_symmetry_Int_Tables_number 123
_symmetry_space_group_name_Hall '-P 4 2'
loop_
_atom_site_label
_atom_site_fract_x
_atom_site_fract_y
_atom_site_fract_z
_atom_site_occupancy
Tc1 0.000 0.000 0.000 1
Te1 0.000 0.500 0.000 1
I1 0.000 0.000 0.500 1
Br1 0.500 0.500 0.500 1
# D(E_F): 5.5 states/eV/cell
# crystal system: tetragonal

=====

We find run two to be the most stable, with the next structure 101.8 kJ/mol of atoms higher.

=====

Run one
# TeIBr (PBE-GGA, relaxed)
data_TeIBr
_cell_length_a 4.795
_cell_length_b 7.499
_cell_length_c 8.119
_cell_angle_alpha 73.79
_cell_angle_beta 79.24
_cell_angle_gamma 79.40
_symmetry_space_group_name_H-M 'P -1'
_symmetry_Int_Tables_number 2
loop_
_symmetry_equiv_pos_as_xyz
'x,y,z'
'-x,-y,-z'
loop_
_atom_site_label
_atom_site_fract_x
_atom_site_fract_y
_atom_site_fract_z
_atom_site_occupancy
Te1 0.247 0.253 0.000 1
I1 0.433 0.923 0.278 1
Br1 0.061 0.570 0.743 1
# D(E_F): 0.6 states/eV/cell
# crystal system: triclinic

=====

Run two
# TeIBr (PBE-GGA, relaxed)
data_TeIBr
_cell_length_a 5.545
_cell_length_b 5.689
_cell_length_c 10.290
_cell_angle_alpha 75.76
_cell_angle_beta 82.71
_cell_angle_gamma 89.68
_symmetry_space_group_name_H-M 'P -1'
_symmetry_Int_Tables_number 2
loop_
_symmetry_equiv_pos_as_xyz
'x,y,z'
'-x,-y,-z'
loop_
_atom_site_label
_atom_site_fract_x
_atom_site_fract_y
_atom_site_fract_z
_atom_site_occupancy
Te1 0.031 0.069 0.343 1
I1 0.107 0.416 0.690 1
Br1 0.347 0.160 0.130 1
# crystal system: triclinic

=====

Run three
# TeIBr (PBE-GGA, relaxed)
data_TeIBr
_cell_length_a 4.9613
_cell_length_b 4.9613
_cell_length_c 5.3601
_cell_angle_alpha 90.00
_cell_angle_beta 90.00
_cell_angle_gamma 120.00
_symmetry_space_group_name_H-M 'P 3 m 1'
_symmetry_Int_Tables_number 156
loop_
_symmetry_equiv_pos_as_xyz
'x,y,z'
'-y,x-y,z'
'-x+y,-x,z'
'-y,-x,z'
'-x+y,y,z'
'x,x-y,z'
loop_
_atom_site_label
_atom_site_fract_x
_atom_site_fract_y
_atom_site_fract_z
_atom_site_occupancy
Te1 0.0000 0.0000 0.0000 1
I1 0.6667 0.3333 0.2251 1
Br1 0.3333 0.6667 0.7453 1
# D(E_F): 3.0 states/eV/cell
# crystal system: trigonal

=====

Run four
# TeIBr (PBE-GGA, relaxed)
data_TeIBr
_cell_length_a 13.662
_cell_length_b 6.253
_cell_length_c 5.576
_cell_angle_alpha 90.00
_cell_angle_beta 90.03
_cell_angle_gamma 90.00
_symmetry_space_group_name_H-M 'C 1 2/m 1'
_symmetry_Int_Tables_number 12
loop_
_symmetry_equiv_pos_as_xyz
'x,y,z'
'-x,-y,-z'
'-x,y,-z'
'x,-y,z'
'x+1/2,y+1/2,z'
'-x+1/2,-y+1/2,-z'
'-x+1/2,y+1/2,-z'
'x+1/2,-y+1/2,z'
loop_
_atom_site_label
_atom_site_fract_x
_atom_site_fract_y
_atom_site_fract_z
_atom_site_occupancy
Te1 0.112 0.000 0.000 1
I1 0.135 0.500 0.999 1
Br1 0.132 0.000 0.500 1
# D(E_F): 2.3 states/eV/cell
# crystal system: monoclinic

=====

We find run four to be the most stable, with the next structure 1.6 kJ/mol of atoms higher.